A plane-wave DFT calculation with PBE-GGA was carried out for a relaxed Y3AlTl3Se8 crystal.

Results
total magnetic moment	0.00	μB per cell
energy relative to the elements, uncorrected	-17.884	eV per formula unit

a = 14.2257 Å, b = 8.2116 Å, c = 9.0005 Å
α = 90.00°, β = 121.87°, γ = 90.00°
Closest atoms and distances in Å follow each position.
Space group C2/m (No. 12)
Symmetry-distinct sites (fractional):
Y1 0.0000 0.0000 0.0000 x2  6 Se 2.86-2.88
Y2 0.2500 0.2500 0.0000 x4  6 Se 2.86-2.88
Al1 0.0000 0.5000 0.0000 x2  6 Se 2.63-2.64
Tl1 0.0000 0.5000 0.5000 x2  6 Se 3.25-3.27
Tl2 0.2500 0.2500 0.5000 x4  6 Se 3.25-3.27
Se1 0.0119 0.2700 0.8060 x8  1 Al 2.64, 2 Y 2.88
Se2 0.2179 0.5000 0.1940 x4  1 Al 2.63, 2 Y 2.88
Se3 0.2365 0.0000 0.2093 x4  3 Y 2.86

=====

A plane-wave DFT calculation with PBE-GGA was carried out for a relaxed YAlTl2Se4 crystal.

Results
total magnetic moment	0.00	μB per cell
energy relative to the elements, uncorrected	-7.296	eV per formula unit

a = 8.2846 Å, b = 8.6704 Å, c = 12.0389 Å
α = 90.00°, β = 90.00°, γ = 90.00°
Closest atoms and distances in Å follow each position.
Space group Imma (No. 74)
Symmetry-distinct sites (fractional):
Y1 0.0000 0.0000 0.0000 x4  6 Se 2.89-2.93
Al1 0.2500 0.2500 0.2500 x4  6 Se 2.69-2.71
Tl1 0.0000 0.0000 0.5000 x4  6 Se 3.14-3.15
Tl2 0.2500 0.2500 0.7500 x4  6 Se 3.32-3.34
Se1 0.0000 0.0485 0.2406 x8  2 Al 2.71, 1 Y 2.93
Se2 0.2282 0.2500 0.0268 x8  1 Al 2.69, 2 Y 2.89

=====

A plane-wave DFT calculation with PBE-GGA was carried out for a relaxed Tm7AlSe5 crystal.

Results
total magnetic moment	0.00	μB per cell
energy relative to the elements, uncorrected	-17.584	eV per formula unit

a = 3.9476 Å, b = 13.2722 Å, c = 23.9417 Å
α = 90.00°, β = 90.00°, γ = 90.00°
Closest atoms and distances in Å follow each position.
Space group Cmc2_1 (No. 36)
Symmetry-distinct sites (fractional):
Tm1 0.0000 0.0213 0.0000 x4  2 Se 2.79, 2 Al 2.98
Tm2 0.0000 0.1384 0.2861 x4  6 Se 2.75-2.84
Tm3 0.0000 0.1394 0.7139 x4  6 Se 2.76-2.84
Tm4 0.0000 0.3107 0.0702 x4  3 Se 2.83-2.85, 2 Al 3.05
Tm5 0.0000 0.3114 0.9298 x4  3 Se 2.83-2.85, 2 Al 3.06
Tm6 0.0000 0.4022 0.3722 x4  4 Se 2.83-2.85
Tm7 0.0000 0.4029 0.6275 x4  4 Se 2.82-2.85
Al1 0.0000 0.3107 0.4999 x4  8 Tm 2.98-3.29
Se1 0.0000 0.0513 0.3904 x4  6 Tm 2.75-2.85
Se2 0.0000 0.0510 0.6095 x4  6 Tm 2.76-2.85
Se3 0.0000 0.2225 0.1779 x4  6 Tm 2.82-2.85
Se4 0.0000 0.2235 0.8221 x4  6 Tm 2.82-2.85
Se5 0.0000 0.4995 0.2500 x4  4 Tm 2.84

=====

A plane-wave DFT calculation with PBE-GGA was carried out for a relaxed TmAlSe2 crystal.

Results
total magnetic moment	0.00	μB per cell
energy relative to the elements, uncorrected	-2.963	eV per formula unit

a = 3.7345 Å, b = 3.7345 Å, c = 25.2265 Å
α = 90.00°, β = 90.00°, γ = 120.00°
Closest atoms and distances in Å follow each position.
Space group R-3m (No. 166, hexagonal axes)
Symmetry-distinct sites (fractional):
Tm1 0.0000 0.0000 0.0000 x3  2 Se 2.80
Al1 0.0000 0.0000 0.5000 x3  6 Se 2.58
Se1 0.0000 0.0000 0.1109 x6  3 Al 2.58, 1 Tm 2.80

=====

A plane-wave DFT calculation with PBE-GGA was carried out for a relaxed Tm3Al5Se12 crystal.

Results
total magnetic moment	0.00	μB per cell
energy relative to the elements, uncorrected	-23.612	eV per formula unit

a = 15.6852 Å, b = 15.6852 Å, c = 15.6852 Å
α = 90.00°, β = 90.00°, γ = 90.00°
Closest atoms and distances in Å follow each position.
Space group Ia-3d (No. 230)
Symmetry-distinct sites (fractional):
Tm1 0.0000 0.2500 0.1250 x24  8 Se 2.99-3.04
Al1 0.0000 0.0000 0.0000 x16  6 Se 2.57
Al2 0.0000 0.2500 0.3750 x24  4 Se 2.40
Se1 0.0260 0.0599 0.6501 x96  2 Al 2.40-2.57

=====

A plane-wave DFT calculation with PBE-GGA was carried out for a relaxed Tm5AlSe4 crystal.

Results
total magnetic moment	0.00	μB per cell
energy relative to the elements, uncorrected	-14.179	eV per formula unit

a = 9.1136 Å, b = 9.1136 Å, c = 5.7298 Å
α = 90.00°, β = 90.00°, γ = 90.00°
Closest atoms and distances in Å follow each position.
Space group I4/m (No. 87)
Symmetry-distinct sites (fractional):
Tm1 0.0000 0.0000 0.0000 x2  2 Al 2.86, 4 Se 2.90
Tm2 0.0979 0.2956 0.5000 x8  1 Al 2.84, 5 Se 2.86-2.91
Al1 0.0000 0.0000 0.5000 x2  6 Tm 2.84-2.86
Se1 0.0979 0.3028 0.0000 x8  6 Tm 2.86-2.91

=====

A plane-wave DFT calculation with PBE-GGA was carried out for a relaxed Tm8AlSe6 crystal.

Results
total magnetic moment	0.00	μB per cell
energy relative to the elements, uncorrected	-18.073	eV per formula unit

a = 10.4387 Å, b = 10.4387 Å, c = 3.9176 Å
α = 90.00°, β = 90.00°, γ = 120.00°
Closest atoms and distances in Å follow each position.
Space group P-3 (No. 147)
Symmetry-distinct sites (fractional):
Tm1 0.0342 0.7263 0.2487 x6  3 Se 2.78-2.88
Tm2 0.3333 0.6667 0.7504 x2  6 Se 2.81-2.83
Al1 0.0000 0.0000 0.5000 x1  6 Tm 3.21
Se1 0.1302 0.4820 0.2533 x6  5 Tm 2.78-2.88

=====

A plane-wave DFT calculation with PBE-GGA was carried out for a relaxed Tm6AlSe4 crystal.

Results
total magnetic moment	0.00	μB per cell
energy relative to the elements, uncorrected	-14.220	eV per formula unit

a = 3.9423 Å, b = 13.2000 Å, c = 20.4965 Å
α = 90.00°, β = 90.00°, γ = 90.00°
Closest atoms and distances in Å follow each position.
Space group Cmcm (No. 63)
Symmetry-distinct sites (fractional):
Tm1 0.0000 0.0000 0.0000 x4  6 Se 2.76-2.83
Tm2 0.0000 0.1571 0.2500 x4  2 Se 2.78, 2 Al 2.98
Tm3 0.0000 0.2662 0.6014 x8  5 Se 2.82-3.07
Tm4 0.0000 0.4452 0.1663 x8  3 Se 2.84-2.91, 2 Al 3.05
Al1 0.0000 0.1739 0.7500 x4  8 Tm 2.98-3.28
Se1 0.0000 0.0844 0.1229 x8  6 Tm 2.76-2.84
Se2 0.0000 0.3565 0.0364 x8  6 Tm 2.83-3.07

=====

A plane-wave DFT calculation with PBE-GGA was carried out for a relaxed Tm4AlSe2 crystal.

Results
total magnetic moment	0.00	μB per cell
energy relative to the elements, uncorrected	-7.322	eV per formula unit

a = 3.9418 Å, b = 13.1346 Å, c = 13.6310 Å
α = 90.00°, β = 90.00°, γ = 90.00°
Closest atoms and distances in Å follow each position.
Space group Cmcm (No. 63)
Symmetry-distinct sites (fractional):
Tm1 0.0000 0.0000 0.0000 x4  4 Se 2.80
Tm2 0.0000 0.2758 0.1272 x8  3 Se 2.77-2.83, 2 Al 3.04
Tm3 0.0000 0.4335 0.7500 x4  2 Se 2.78, 2 Al 2.97
Al1 0.0000 0.1023 0.7500 x4  6 Tm 2.97-3.04
Se1 0.0000 0.3612 0.5586 x8  6 Tm 2.77-2.83

=====

A plane-wave DFT calculation with PBE-GGA was carried out for a relaxed U3Al5Se12 crystal.

Results
total magnetic moment	69.42	μB per cell
energy relative to the elements, uncorrected	-17.979	eV per formula unit

a = 15.8227 Å, b = 15.8227 Å, c = 15.8227 Å
α = 90.00°, β = 90.00°, γ = 90.00°
Closest atoms and distances in Å follow each position.
Space group Ia-3d (No. 230)
Symmetry-distinct sites (fractional):
U1 0.0000 0.2500 0.1250 x24  8 Se 3.04-3.07
Al1 0.0000 0.0000 0.0000 x16  6 Se 2.58
Al2 0.0000 0.2500 0.3750 x24  4 Se 2.41
Se1 0.0275 0.0596 0.6495 x96  2 Al 2.41-2.58

=====

A plane-wave DFT calculation with PBE-GGA was carried out for a relaxed U2Al2Se7 crystal.

Results
total magnetic moment	8.00	μB per cell
energy relative to the elements, uncorrected	-8.977	eV per formula unit

a = 9.0502 Å, b = 11.1999 Å, c = 6.6203 Å
α = 90.00°, β = 101.32°, γ = 90.00°
Closest atoms and distances in Å follow each position.
Space group C2/m (No. 12)
Symmetry-distinct sites (fractional):
U1 0.0000 0.1968 0.0000 x4  6 Se 2.81-2.90
Al1 0.2330 0.5000 0.4088 x4  4 Se 2.30-2.44
Se1 0.0000 0.5000 0.5000 x2  2 Al 2.30
Se2 0.0985 0.0000 0.2549 x4  1 Al 2.44
Se3 0.2404 0.1830 0.7687 x8  1 Al 2.40

=====

A plane-wave DFT calculation with PBE-GGA was carried out for a relaxed U6Al3Se14 crystal.

Results
total magnetic moment	0.05	μB per cell
energy relative to the elements, uncorrected	-22.624	eV per formula unit

a = 10.3013 Å, b = 10.3013 Å, c = 6.2322 Å
α = 90.00°, β = 90.00°, γ = 120.00°
Closest atoms and distances in Å follow each position.
Space group P3 (No. 143)
Symmetry-distinct sites (fractional):
U1 0.0359 0.5560 0.0000 x3  7 Se 2.91-3.15
U2 0.2977 0.1077 0.4971 x3  7 Se 2.91-3.11
Al1 0.0000 0.0000 0.9152 x1  4 Se 2.37-2.40
Al2 0.3333 0.6667 0.4119 x1  4 Se 2.37-2.40
Al3 0.6667 0.3333 0.2969 x1  6 Se 2.62-2.63
Se1 0.0000 0.0000 0.2959 x1  1 Al 2.37
Se2 0.0957 0.8495 0.7675 x3  1 Al 2.40
Se3 0.1852 0.4203 0.2635 x3  1 Al 2.40
Se4 0.3333 0.6667 0.7924 x1  1 Al 2.37
Se5 0.4271 0.1919 0.0563 x3  1 Al 2.62, 1 U 2.91
Se6 0.5185 0.4305 0.5273 x3  1 Al 2.63, 1 U 2.91